First-principles (PBE) data for a relaxed ThMgB12 crystal, as listed in Alexandria.

```
data_ThMgB12
_chemical_formula_sum 'Th1 Mg1 B12'
_cell_length_a 4.096
_cell_length_b 4.096
_cell_length_c 8.288
_cell_angle_alpha 90.00
_cell_angle_beta 90.00
_cell_angle_gamma 90.00
_space_group_name_H-M_alt 'P 4/m m m'
_space_group_IT_number 123
_space_group_name_Hall '-P 4 2'
loop_
_atom_site_label
_atom_site_fract_x
_atom_site_fract_y
_atom_site_fract_z
Th1 0.000 0.000 0.000
Mg1 0.000 0.000 0.500
B1 0.199 0.500 0.251
B2 0.500 0.500 0.099
B3 0.500 0.500 0.401
```

Computed properties:
Size of the total moment: 0.00 μB per cell
Volume: 9.9 Å³ per atom
Energy relative to the elements: -227 meV/atom

First-principles (PBE) data for a relaxed ThMgB4 crystal, as listed in Alexandria.

```
data_ThMgB4
_chemical_formula_sum 'Th4 Mg4 B16'
_cell_length_a 6.145
_cell_length_b 11.908
_cell_length_c 3.815
_cell_angle_alpha 90.00
_cell_angle_beta 90.00
_cell_angle_gamma 90.00
_space_group_name_H-M_alt 'P b a m'
_space_group_IT_number 55
loop_
_space_group_symop_operation_xyz
'x,y,z'
'-x,-y,-z'
'-x,-y,z'
'x,y,-z'
'x+1/2,-y+1/2,-z'
'-x+1/2,y+1/2,z'
'-x+1/2,y+1/2,-z'
'x+1/2,-y+1/2,z'
loop_
_atom_site_label
_atom_site_fract_x
_atom_site_fract_y
_atom_site_fract_z
Th1 0.125 0.151 0.000
Mg1 0.135 0.411 0.000
B1 0.031 0.692 0.500
B2 0.114 0.546 0.500
B3 0.134 0.969 0.500
B4 0.212 0.812 0.500
```

Computed properties:
Size of the total moment: 0.00 μB per cell
Volume: 11.6 Å³ per atom
Energy relative to the elements: -380 meV/atom

First-principles (PBE) data for a relaxed Th2MgB crystal, as listed in Alexandria.

```
data_Th2MgB
_chemical_formula_sum 'Th6 Mg3 B3'
_cell_length_a 3.6341
_cell_length_b 3.6341
_cell_length_c 30.3479
_cell_angle_alpha 90.00
_cell_angle_beta 90.00
_cell_angle_gamma 120.00
_space_group_name_H-M_alt 'R -3 m'
_space_group_IT_number 166
_space_group_name_Hall '-R 3 2"'
loop_
_atom_site_label
_atom_site_fract_x
_atom_site_fract_y
_atom_site_fract_z
Th1 0.0000 0.0000 0.1167
Mg1 0.0000 0.0000 0.0000
B1 0.0000 0.0000 0.5000
```

Computed properties:
Size of the total moment: 0.00 μB per cell
Volume: 28.9 Å³ per atom
Energy relative to the elements: 139 meV/atom

First-principles (PBE) data for a relaxed MgTiB3 crystal, as listed in Alexandria.

```
data_MgTiB3
_chemical_formula_sum 'Mg1 Ti1 B3'
_cell_length_a 4.049
_cell_length_b 4.049
_cell_length_c 4.049
_cell_angle_alpha 90.00
_cell_angle_beta 90.00
_cell_angle_gamma 90.00
_space_group_name_H-M_alt 'P m -3 m'
_space_group_IT_number 221
_space_group_name_Hall '-P 4 2 3'
loop_
_atom_site_label
_atom_site_fract_x
_atom_site_fract_y
_atom_site_fract_z
Mg1 0.000 0.000 0.000
Ti1 0.500 0.500 0.500
B1 0.000 0.000 0.500
```

Computed properties:
Size of the total moment: 0.00 μB per cell
Volume: 13.3 Å³ per atom
Energy relative to the elements: 1902 meV/atom